Entry 1:
DFT (PBE) results for crystalline La2RhW at its relaxed geometry.

## Properties
Energy relative to the lowest polymorph listed for this composition (meV/atom): 314
E_form (kcal/mol of atoms): 8.37
DFT total energy (eV per cell): -28.707
Fermi-level density of states (states/eV/atom): 0.99

abc: 3.5949 4.5655 5.4216
angles: 90.00 90.00 90.00
Closest atoms and distances in Å follow each position.
Sites, in units of the cell vectors:
La1 0.0000 0.0000 0.0000  4 W 2.91, 4 La 3.25
La2 0.5000 0.0000 0.5000  4 Rh 2.91, 4 La 3.25
Rh1 0.0000 0.5000 0.5000  4 La 2.91, 4 W 3.25
W1 0.5000 0.5000 0.0000  4 La 2.91, 4 Rh 3.25

***

Entry 2:
DFT (PBE) results for crystalline LaRhW2 at its relaxed geometry.

## Properties
Energy relative to the lowest polymorph listed for this composition (meV/atom): 197
E_form (kcal/mol of atoms): 8.94
DFT total energy (eV per cell): -36.635
Fermi-level density of states (states/eV/atom): 0.82

abc: 5.5388 5.5388 4.8679
angles: 102.68 102.68 31.48
Closest atoms and distances in Å follow each position.
Sites, in units of the cell vectors:
La1 0.0000 0.0000 0.0000  4 Rh 2.86, 2 La 3.00, 2 W 3.04
Rh1 0.5000 0.5000 0.5000  4 W 2.82, 4 La 2.86, 2 Rh 3.00
W1 0.2256 0.2256 0.7133  4 W 2.71-3.00, 2 Rh 2.82
W2 0.7744 0.7744 0.2867  4 W 2.71-3.00, 2 Rh 2.82

***

Entry 3:
DFT (PBE) results for crystalline LaRhW2 at its relaxed geometry.

## Properties
Energy relative to the lowest polymorph listed for this composition (meV/atom): 0
E_form (kcal/mol of atoms): 4.40
DFT total energy (eV per cell): -37.423
Fermi-level density of states (states/eV/atom): 0.91

abc: 3.2201 3.2201 7.5073
angles: 90.00 90.00 90.00
Closest atoms and distances in Å follow each position.
Sites, in units of the cell vectors:
La1 0.0000 0.0000 0.0000  4 Rh 3.20, 4 La 3.22, 4 W 3.23
Rh1 0.5000 0.5000 0.3001  5 W 2.77-2.97
W1 0.0000 0.0000 0.5101  4 W 2.67, 4 Rh 2.77
W2 0.5000 0.5000 0.6951  4 W 2.67, 1 Rh 2.97

***

Entry 4:
DFT (PBE) results for crystalline La2RhW at its relaxed geometry.

## Properties
Energy relative to the lowest polymorph listed for this composition (meV/atom): 409
E_form (kcal/mol of atoms): 10.55
DFT total energy (eV per cell): -28.329
Fermi-level density of states (states/eV/atom): 0.84

abc: 9.7916 9.7916 9.7916
angles: 19.76 19.76 19.76
Closest atoms and distances in Å follow each position.
Sites, in units of the cell vectors:
La1 0.0000 0.0000 0.0000  3 W 3.21, 9 La 3.36-3.48
La2 0.2330 0.2330 0.2330  3 Rh 3.16, 9 La 3.36-3.48
Rh1 0.4796 0.4796 0.4796  3 W 2.55
W1 0.7556 0.7556 0.7556  3 Rh 2.55